{"formula": "Dy2ErMg", "functional": "PBE", "state": "relaxed", "cell": [[3.562, 0.000, 0.000], [0.000, 3.562, 0.000], [0.000, 0.000, 9.241]], "species": ["Dy", "Dy", "Er", "Mg"], "frac_coords": [[0.000, 0.000, 0.238], [0.000, 0.000, 0.762], [0.500, 0.500, 0.500], [0.500, 0.500, 0.000]], "polymorph_energy_mev_per_atom": 5, "m_tot_mub_per_cell": 0.000}

---

{"formula": "Dy7Er2Mg2", "functional": "PBE", "state": "relaxed", "cell": [[4.809, -5.786, 0.000], [4.809, 5.786, 0.000], [-2.579, 0.000, 6.139]], "species": ["Dy", "Dy", "Dy", "Dy", "Dy", "Dy", "Dy", "Er", "Er", "Mg", "Mg"], "frac_coords": [[0.000, 0.000, 0.000], [0.073, 0.576, 0.799], [0.329, 0.329, 0.515], [0.424, 0.927, 0.201], [0.576, 0.073, 0.799], [0.671, 0.671, 0.485], [0.927, 0.424, 0.201], [0.138, 0.862, 0.500], [0.862, 0.138, 0.500], [0.344, 0.344, 0.029], [0.656, 0.656, 0.971]], "polymorph_energy_mev_per_atom": 22, "m_tot_mub_per_cell": 0.000}

---

{"formula": "Dy3Er2Mg3", "functional": "PBE", "state": "relaxed", "cell": [[-1.863, 2.707, 11.148], [1.863, -2.707, 11.148], [1.863, 2.707, -11.148]], "species": ["Dy", "Dy", "Dy", "Er", "Er", "Mg", "Mg", "Mg"], "frac_coords": [[0.000, 0.000, 0.000], [0.374, 0.874, 0.500], [0.626, 0.126, 0.500], [0.235, 0.235, 0.000], [0.765, 0.765, 0.000], [0.117, 0.617, 0.500], [0.500, 0.500, 0.000], [0.883, 0.383, 0.500]], "m_tot_mub_per_cell": 0.001}

---

| no. | E_tot (Ry per atom) |
| --- | --- |
| 1 | -0.2841 |
| 2 | -0.2835 |
| 3 | -0.2587 |